4
Lattice="-4.630 1.045 5.147 -5.149 -4.362 1.864 6.696 1.835 -0.902" Properties=species:S:1:pos:R:3 comment="KMgZr2 PBE relaxed" dos_at_fermi_per_ev_cell=3.8 magmom_total_mub_per_atom=0.000 formation_enthalpy_0k_ev_per_atom=0.54 spacegroup=Immm pbc="T T T"
K -1.412 0.611 3.875
Mg -1.671 -2.093 2.234
Zr -0.224 -0.076 0.161
Zr -4.665 -1.583 3.344